The following is a DFT calculation (PBE) of an optimized crystal structure of MnMo2Pb.

a = 2.9483 Å, b = 4.0996 Å, c = 5.8151 Å
α = 90.00°, β = 95.99°, γ = 90.00°
Space group P2/m (No. 10)
Asymmetric unit:
1 Mn 0.0000 0.0000 0.0000 [1 per cell]
2 Mo 0.4178 0.5000 0.2006 [2 per cell]
3 Pb 0.0000 0.0000 0.5000 [1 per cell]

## Properties
* DFT formation energy: 0.526 eV/atom
* total DFT energy (no corrections): -32.44 eV per formula unit
* V: 69.9 Å³/f.u.

***

The following is a DFT calculation (PBE) of an optimized crystal structure of MnMo2Pb.

a = 5.5271 Å, b = 9.1434 Å, c = 2.8932 Å
α = 90.00°, β = 108.26°, γ = 90.00°
Space group C2/m (No. 12)
Asymmetric unit:
1 Mn 0.0000 0.0000 0.0000 [2 per cell]
2 Mo 0.2500 0.2500 0.5000 [4 per cell]
3 Pb 0.0000 0.5000 0.0000 [2 per cell]

## Properties
* DFT formation energy: 0.650 eV/atom
* total DFT energy (no corrections): -31.94 eV per formula unit
* V: 69.4 Å³/f.u.